Arrangement 1

{
  "formula": "TePt2",
  "functional": "GGA-PBE",
  "state": "relaxed",
  "space_group": "Pnma, No. 62",
  "lattice_angstrom": [[6.136, 0.000, 0.000], [0.000, 5.390, 0.000], [0.000, 0.000, 7.444]],
  "species": ["Te", "Te", "Te", "Te", "Pt", "Pt", "Pt", "Pt", "Pt", "Pt", "Pt", "Pt"],
  "frac_coords": [[0.117, 0.250, 0.129], [0.383, 0.750, 0.629], [0.617, 0.250, 0.371], [0.883, 0.750, 0.871], [0.016, 0.250, 0.479], [0.109, 0.750, 0.172], [0.391, 0.250, 0.672], [0.484, 0.750, 0.979], [0.516, 0.250, 0.021], [0.609, 0.750, 0.328], [0.891, 0.250, 0.828], [0.984, 0.750, 0.521]]
}

---

Arrangement 2

{
  "formula": "TePt2",
  "functional": "GGA-PBE",
  "state": "relaxed",
  "space_group": "C2/m, No. 12",
  "lattice_angstrom": [[5.865, -1.942, 0.000], [5.865, 1.942, 0.000], [-0.903, 0.000, 5.200]],
  "species": ["Te", "Te", "Pt", "Pt", "Pt", "Pt"],
  "frac_coords": [[0.134, 0.134, 0.309], [0.866, 0.866, 0.691], [0.183, 0.183, 0.832], [0.480, 0.480, 0.241], [0.520, 0.520, 0.759], [0.817, 0.817, 0.168]]
}

---

Arrangement 3

{
  "formula": "TePt2",
  "functional": "GGA-PBE",
  "state": "relaxed",
  "space_group": "P6_3/mmc, No. 194",
  "lattice_angstrom": [[4.732, 0.000, 0.000], [-2.366, 4.098, 0.000], [0.000, 0.000, 5.743]],
  "species": ["Te", "Te", "Pt", "Pt", "Pt", "Pt"],
  "frac_coords": [[0.333, 0.667, 0.250], [0.667, 0.333, 0.750], [0.000, 0.000, 0.000], [0.000, 0.000, 0.500], [0.333, 0.667, 0.750], [0.667, 0.333, 0.250]]
}

---

Ordering by calculated energy gives the sequence arrangement 2, arrangement 1, arrangement 3, with the first entry being the most stable.

---

Arrangement 1

{
  "formula": "TePt2",
  "functional": "GGA-PBE",
  "state": "relaxed",
  "space_group": "Pa-3, No. 205",
  "lattice_angstrom": [[6.381, 0.000, 0.000], [0.000, 6.381, 0.000], [0.000, 0.000, 6.381]],
  "species": ["Te", "Te", "Te", "Te", "Pt", "Pt", "Pt", "Pt", "Pt", "Pt", "Pt", "Pt"],
  "frac_coords": [[0.000, 0.000, 0.000], [0.000, 0.500, 0.500], [0.500, 0.000, 0.500], [0.500, 0.500, 0.000], [0.122, 0.622, 0.878], [0.122, 0.878, 0.378], [0.378, 0.122, 0.878], [0.378, 0.378, 0.378], [0.622, 0.622, 0.622], [0.622, 0.878, 0.122], [0.878, 0.122, 0.622], [0.878, 0.378, 0.122]]
}

---

Arrangement 2

{
  "formula": "TePt2",
  "functional": "GGA-PBE",
  "state": "relaxed",
  "space_group": "I4/mcm, No. 140",
  "lattice_angstrom": [[-2.720, 2.720, 4.026], [2.720, -2.720, 4.026], [2.720, 2.720, -4.026]],
  "species": ["Te", "Te", "Pt", "Pt", "Pt", "Pt"],
  "frac_coords": [[0.250, 0.250, 0.000], [0.750, 0.750, 0.000], [0.179, 0.679, 0.857], [0.321, 0.179, 0.500], [0.679, 0.821, 0.500], [0.821, 0.321, 0.143]]
}

---

Ordering by calculated energy gives the sequence arrangement 2, arrangement 1, with the first entry being the most stable.